[1]
Cs2PuCdO6 after structural relaxation. Source: Alexandria via LeMat-Bulk, functional PBE.

Structure (POSCAR):
```
Cs2PuCdO6
1.0
-2.931 5.528 0.214
-6.239 0.219 0.475
-2.668 1.924 5.327
Cs Pu Cd O
2 1 1 6
Direct
0.750 0.750 0.750 Cs
0.250 0.250 0.250 Cs
0.000 0.000 0.000 Pu
0.500 0.500 0.500 Cd
0.226 0.774 0.774 O
0.226 0.774 0.226 O
0.226 0.226 0.774 O
0.774 0.774 0.226 O
0.774 0.226 0.226 O
0.774 0.226 0.774 O
```

N(E_F) (states/eV/f.u.): 6.48
Space-group type: Fm-3m, No. 225
Formation energy without anion corrections (eV/atom): -1.750

---

[2]
YAs5 after structural relaxation. Source: Alexandria via LeMat-Bulk, functional PBE.

Structure (POSCAR):
```
YAs5
1.0
2.116 6.731 -3.699
-5.551 -3.847 4.225
1.637 1.335 3.366
Y As
1 5
Direct
0.113 0.887 0.500 Y
0.965 0.035 0.000 As
0.372 0.628 0.000 As
0.650 0.350 0.000 As
0.477 0.523 0.500 As
0.755 0.245 0.500 As
```

N(E_F) (states/eV/f.u.): 1.17
Space-group type: Amm2, No. 38
Calculated formation energy (eV per formula unit): -1.81